No. 1
## BaLiCu2 (PBE)

Data for an optimized crystal structure of BaLiCu2.

Results
Calculated formation energy   0.159 eV per atom
Space group   Imm2, No. 44

Lattice parameters (Å, degrees): 5.339 5.339 5.339 131.96 115.57 84.25
Element x y z (fractional)
Ba 0.000 0.000 0.000
Li 0.663 0.163 0.500
Cu 0.318 0.818 0.500
Cu 0.452 0.452 0.000


No. 2
## BaLiCu3 (PBE)

Data for an optimized crystal structure of BaLiCu3.

Results
Calculated formation energy   0.252 eV per atom
Space group   Pm-3m, No. 221

Lattice parameters (Å, degrees): 4.746 4.746 4.746 90.00 90.00 90.00
Element x y z (fractional)
Ba 0.000 0.000 0.000
Li 0.500 0.500 0.500
Cu 0.000 0.500 0.500
Cu 0.500 0.000 0.500
Cu 0.500 0.500 0.000


No. 3
## BaLi2Cu (PBE)

Data for an optimized crystal structure of BaLi2Cu.

Results
Calculated formation energy   0.094 eV per atom
Space group   Immm, No. 71

Lattice parameters (Å, degrees): 6.263 6.263 6.263 146.31 128.89 62.62
Element x y z (fractional)
Ba 0.000 0.000 0.000
Li 0.305 0.805 0.500
Li 0.695 0.195 0.500
Cu 0.500 0.500 0.000


No. 4
## BaLi2Cu (PBE)

Data for an optimized crystal structure of BaLi2Cu.

Results
Calculated formation energy   0.021 eV per atom
Space group   Cm, No. 8

Lattice parameters (Å, degrees): 4.648 4.648 6.385 111.33 111.33 60.10
Element x y z (fractional)
Ba 0.000 0.000 0.000
Li 0.511 0.511 0.534
Li 0.810 0.810 0.430
Cu 0.194 0.194 0.586


No. 5
## BaLi2Cu (PBE)

Data for an optimized crystal structure of BaLi2Cu.

Results
Calculated formation energy   0.110 eV per atom
Space group   Cmmm, No. 65

Lattice parameters (Å, degrees): 4.900 4.900 4.889 90.00 90.00 102.30
Element x y z (fractional)
Ba 0.000 0.000 0.000
Li 0.335 0.665 0.500
Li 0.665 0.335 0.500
Cu 0.500 0.500 0.000


No. 6
## BaLiCu2 (PBE)

Data for an optimized crystal structure of BaLiCu2.

Results
Calculated formation energy   0.276 eV per atom
Space group   F-43m, No. 216

Lattice parameters (Å, degrees): 5.033 5.033 5.033 60.00 60.00 60.00
Element x y z (fractional)
Ba 0.000 0.000 0.000
Li 0.750 0.750 0.750
Cu 0.250 0.250 0.250
Cu 0.500 0.500 0.500


No. 7
## BaLiCu3 (PBE)

Data for an optimized crystal structure of BaLiCu3.

Results
Calculated formation energy   1.077 eV per atom
Space group   Pm-3m, No. 221

Lattice parameters (Å, degrees): 5.876 5.876 5.876 90.00 90.00 90.00
Element x y z (fractional)
Ba 0.000 0.000 0.000
Li 0.500 0.500 0.500
Cu 0.000 0.000 0.500
Cu 0.000 0.500 0.000
Cu 0.500 0.000 0.000


No. 8
## BaLiCu4 (PBE)

Data for an optimized crystal structure of BaLiCu4.

Results
Calculated formation energy   0.086 eV per atom
Space group   F-43m, No. 216

Lattice parameters (Å, degrees): 5.333 5.333 5.333 60.00 60.00 60.00
Element x y z (fractional)
Ba 0.000 0.000 0.000
Li 0.250 0.250 0.250
Cu 0.136 0.621 0.621
Cu 0.621 0.136 0.621
Cu 0.621 0.621 0.136
Cu 0.621 0.621 0.621